1.
VASP calculation (GGA-PBE) on an optimized crystal structure of SiHS2N.

POSCAR file:
```
SiHS2N
1.0
4.908 0.000 0.000
0.000 4.908 0.000
0.000 0.000 2.539
Si H S N
1 1 2 1
Cartesian
0.000 0.000 0.000
2.454 2.454 1.269
0.000 2.454 1.269
2.454 0.000 1.269
2.454 2.454 0.000
```

Calculated values
- space-group type = No. 123
- calculated volume (Å³ per cell) = 61.1
- energy above the most stable polymorph in this dataset (eV/f.u.) = 1.04

---

2.
VASP calculation (GGA-PBE) on an optimized crystal structure of LaNd5Mg.

POSCAR file:
```
LaNd5Mg
1.0
4.401 -4.934 0.000
4.401 4.934 0.000
-4.269 0.000 11.167
La Nd Mg
2 10 2
Cartesian
1.199 2.500 8.375
3.334 -2.500 2.792
-0.746 0.826 6.017
3.334 3.828 2.792
1.388 -0.826 0.433
1.979 0.681 3.900
-0.156 -0.681 9.483
4.689 0.681 1.684
2.554 -0.681 7.267
3.145 0.826 10.734
1.199 -3.828 8.375
5.279 -0.826 5.150
2.200 2.467 0.000
0.066 -2.467 5.584
```

Calculated values
- space-group type = No. 15
- calculated volume (Å³ per cell) = 485.0
- formation energy from the elements (kJ per mole of atoms) = 8.5

---

3.
VASP calculation (GGA-PBE) on an optimized crystal structure of Pm2SmHoEr4.

POSCAR file:
```
Pm2SmHoEr4
1.0
-3.397 5.885 6.624
3.397 -5.885 6.624
3.397 5.885 -6.624
Pm Sm Ho Er
4 2 2 8
Cartesian
0.000 0.000 0.000
-1.698 2.943 3.312
0.000 5.885 0.000
1.698 2.943 3.312
3.397 0.000 0.000
0.000 0.000 6.624
1.698 2.943 -3.312
1.698 -2.943 3.312
1.699 2.943 -0.040
3.397 5.848 -3.311
5.094 2.943 -0.040
3.397 -0.037 3.311
0.000 5.922 3.313
-1.698 2.943 6.664
0.000 0.037 9.934
1.698 2.943 6.664
```

Calculated values
- space-group type = No. 74
- calculated volume (Å³ per cell) = 529.6
- formation energy from the elements (kJ per mole of atoms) = 41.4

---

4.
VASP calculation (GGA-PBE) on an optimized crystal structure of NdHo2Mg2.

POSCAR file:
```
NdHo2Mg2
1.0
9.000 0.000 0.000
0.000 9.000 0.000
0.000 0.000 3.605
Nd Ho Mg
2 4 4
Cartesian
0.000 0.000 0.000
4.500 4.500 0.000
1.182 3.318 0.000
3.318 7.818 0.000
5.682 1.182 0.000
7.818 5.682 0.000
1.492 5.992 1.802
3.008 1.492 1.802
5.992 7.507 1.802
7.507 3.008 1.802
```

Calculated values
- space-group type = No. 127
- calculated volume (Å³ per cell) = 292.0
- formation energy from the elements (kJ per mole of atoms) = 4.6
- energy above the most stable polymorph in this dataset (eV/f.u.) = 0.57

---

5.
VASP calculation (GGA-PBE) on an optimized crystal structure of Cu12I3O5.

POSCAR file:
```
Cu12I3O5
1.0
-6.939 6.939 6.939
6.939 -6.939 6.939
6.939 6.939 -6.939
Cu I O
48 12 20
Cartesian
5.394 -3.657 4.105
11.952 0.636 -0.188
8.864 0.636 0.188
8.483 -3.282 4.105
10.220 2.834 -1.544
7.126 -5.014 6.303
4.105 5.394 -3.657
6.303 -0.188 1.925
6.303 7.126 -5.014
4.105 -1.544 3.657
3.657 4.105 -1.544
6.751 1.925 0.636
10.596 2.834 1.544
6.751 -1.925 6.303
6.303 6.751 -1.925
4.105 1.544 3.282
4.105 8.483 -3.282
6.303 0.188 5.014
3.282 4.105 1.544
7.126 5.014 0.636
1.925 6.303 -0.188
8.483 3.282 2.834
5.014 6.303 0.188
5.394 3.657 2.834
1.544 3.282 4.105
1.925 0.636 6.751
-1.544 3.657 4.105
5.014 0.636 7.126
-0.188 1.925 6.303
3.657 2.834 5.394
0.636 6.751 1.925
2.834 -1.544 10.220
2.834 5.394 3.657
0.636 0.188 8.864
0.188 8.864 0.636
-3.657 4.105 5.394
0.188 5.014 6.303
3.282 2.834 8.483
2.834 8.483 3.282
0.636 -0.188 11.952
0.636 7.126 5.014
2.834 1.544 10.596
-0.188 11.952 0.636
-3.282 4.105 8.483
-1.544 10.220 2.834
-1.925 6.303 6.751
-5.014 6.303 7.126
1.544 10.596 2.834
3.469 1.735 0.000
6.939 3.469 -1.735
1.735 0.000 3.469
8.673 0.000 3.469
0.000 3.469 1.735
3.469 -1.735 6.939
3.469 8.673 0.000
6.939 3.469 5.204
-1.735 6.939 3.469
5.204 6.939 3.469
0.000 3.469 8.673
3.469 5.204 6.939
0.000 0.000 0.000
3.469 3.469 -3.469
3.469 -3.469 3.469
6.939 0.000 0.000
10.408 1.735 0.000
6.939 -3.469 5.204
5.204 6.939 -3.469
5.204 0.000 3.469
3.469 5.204 0.000
6.939 3.469 1.735
-3.469 3.469 3.469
0.000 6.939 0.000
0.000 0.000 6.939
3.469 3.469 3.469
0.000 3.469 5.204
3.469 1.735 6.939
1.735 6.939 3.469
1.735 0.000 10.408
0.000 10.408 1.735
-3.469 5.204 6.939
```

Calculated values
- space-group type = No. 230
- calculated volume (Å³ per cell) = 1336.2
- calculated total energy (Ry per atom) = -0.3005

---

6.
VASP calculation (GGA-PBE) on an optimized crystal structure of MnBe2As.

POSCAR file:
```
MnBe2As
1.0
-3.311 3.311 2.380
3.311 -3.311 2.380
3.311 3.311 -2.380
Mn Be As
2 4 2
Cartesian
0.000 0.000 0.000
0.000 3.311 1.190
1.656 1.854 -0.595
4.768 1.656 0.595
1.656 1.457 1.785
-1.457 1.656 2.975
3.311 0.000 1.190
0.000 0.000 2.380
```

Calculated values
- space-group type = No. 122
- calculated volume (Å³ per cell) = 104.4
- formation energy from the elements (kJ per mole of atoms) = 38.0